[1]
An optimized crystal structure of MnCu2Re. Source: Alexandria via LeMat-Bulk, functional GGA-PBE.

Summary:
energy above the most stable polymorph in this dataset	0.113	eV per atom
energy of formation	0.30	eV per atom

abc: 2.6271 2.6271 7.7055
angles: 90.00 90.00 90.00
With the nearest neighbours (Å) after each atom.
Atoms (fractional coordinates):
Mn 0.0000 0.0000 0.0000  4 Mn 2.63, 8 Cu 2.64
Cu 0.5000 0.5000 0.2428  4 Cu 2.63, 4 Mn 2.64, 4 Re 2.72
Cu 0.5000 0.5000 0.7572  4 Cu 2.63, 4 Mn 2.64, 4 Re 2.72
Re 0.0000 0.0000 0.5000  4 Re 2.63, 8 Cu 2.72

---

[2]
An optimized crystal structure of Ho2Tl2Hg. Source: Alexandria via LeMat-Bulk, functional GGA-PBE.

Summary:
energy above the most stable polymorph in this dataset	0.000	eV per atom
energy of formation	-0.23	eV per atom

abc: 10.8312 10.8312 3.5546
angles: 90.00 90.00 160.71
With the nearest neighbours (Å) after each atom.
Atoms (fractional coordinates):
Ho 0.0912 0.9088 0.0000  4 Hg 3.20, 4 Tl 3.29, 2 Ho 3.55
Ho 0.9088 0.0912 0.0000  4 Hg 3.20, 4 Tl 3.29, 2 Ho 3.55
Tl 0.3107 0.6893 0.5000  2 Tl 3.16, 4 Ho 3.29
Tl 0.6893 0.3107 0.5000  2 Tl 3.16, 4 Ho 3.29
Hg 0.5000 0.5000 0.5000  8 Ho 3.20, 2 Hg 3.55

---

[3]
An optimized crystal structure of Zr2BiPt2. Source: Alexandria via LeMat-Bulk, functional GGA-PBE.

Summary:
energy above the most stable polymorph in this dataset	0.000	eV per atom
energy of formation	-0.79	eV per atom

abc: 7.8226 7.8226 3.4106
angles: 90.00 90.00 90.00
With the nearest neighbours (Å) after each atom.
Atoms (fractional coordinates):
Zr 0.1619 0.3381 0.0000  6 Pt 2.85-2.88
Zr 0.3381 0.8381 0.0000  6 Pt 2.85-2.88
Zr 0.6619 0.1619 0.0000  6 Pt 2.85-2.88
Zr 0.8381 0.6619 0.0000  6 Pt 2.85-2.88
Bi 0.0000 0.0000 0.5000  4 Pt 3.08, 8 Zr 3.39, 2 Bi 3.41
Bi 0.5000 0.5000 0.5000  4 Pt 3.08, 8 Zr 3.39, 2 Bi 3.41
Pt 0.1282 0.6282 0.5000  1 Pt 2.84, 6 Zr 2.85-2.88, 2 Bi 3.08
Pt 0.3718 0.1282 0.5000  1 Pt 2.84, 6 Zr 2.85-2.88, 2 Bi 3.08
Pt 0.6282 0.8718 0.5000  1 Pt 2.84, 6 Zr 2.85-2.88, 2 Bi 3.08
Pt 0.8718 0.3718 0.5000  1 Pt 2.84, 6 Zr 2.85-2.88, 2 Bi 3.08

---

[4]
An optimized crystal structure of BeAgMo2. Source: Alexandria via LeMat-Bulk, functional GGA-PBE.

Summary:
energy of formation	0.39	eV per atom

abc: 3.2530 3.2530 5.6396
angles: 90.00 90.00 90.00
With the nearest neighbours (Å) after each atom.
Atoms (fractional coordinates):
Be 0.0000 0.0000 0.0000  8 Mo 2.56, 2 Ag 2.82
Ag 0.0000 0.0000 0.5000  2 Be 2.82, 8 Mo 2.86
Mo 0.5000 0.5000 0.2000  1 Mo 2.26
Mo 0.5000 0.5000 0.8000  1 Mo 2.26

---

[5]
An optimized crystal structure of TePtIN2. Source: Alexandria via LeMat-Bulk, functional GGA-PBE.

Summary:
energy above the most stable polymorph in this dataset	0.000	eV per atom
formation energy without anion corrections	1345	meV/atom

abc: 4.1853 4.1853 5.9280
angles: 90.00 90.00 90.00
With the nearest neighbours (Å) after each atom.
Atoms (fractional coordinates):
Te 0.0000 0.0000 0.0000  4 I 2.96, 2 Pt 2.96
Pt 0.0000 0.0000 0.5000  4 N 2.09
I 0.5000 0.5000 0.0000  4 Te 2.96
N 0.0000 0.5000 0.5000  2 Pt 2.09
N 0.5000 0.0000 0.5000  2 Pt 2.09

---

[6]
An optimized crystal structure of SiSbPb. Source: Alexandria via LeMat-Bulk, functional GGA-PBE.

Summary:
energy above the most stable polymorph in this dataset	0.167	eV per atom
formation energy without anion corrections	395	meV/atom

abc: 4.9165 4.9165 4.9165
angles: 60.00 60.00 60.00
With the nearest neighbours (Å) after each atom.
Atoms (fractional coordinates):
Si 0.0000 0.0000 0.0000  4 Sb 3.01, 4 Pb 3.01
Sb 0.7500 0.7500 0.7500  4 Si 3.01
Pb 0.2500 0.2500 0.2500  4 Si 3.01

---

[7]
An optimized crystal structure of Rb2CrAs2. Source: Alexandria via LeMat-Bulk, functional GGA-PBE.

Summary:
energy of formation	-0.07	eV per atom

abc: 6.8243 6.8243 5.8699
angles: 90.00 90.00 90.00
With the nearest neighbours (Å) after each atom.
Atoms (fractional coordinates):
Rb 0.1730 0.3270 0.0000  5 Rb 3.34-3.57, 6 As 3.48-3.62
Rb 0.3270 0.8270 0.0000  5 Rb 3.34-3.57, 6 As 3.48-3.62
Rb 0.6730 0.1730 0.0000  5 Rb 3.34-3.57, 6 As 3.48-3.62
Rb 0.8270 0.6730 0.0000  5 Rb 3.34-3.57, 6 As 3.48-3.62
Cr 0.0000 0.0000 0.5000  4 As 2.66
Cr 0.5000 0.5000 0.5000  4 As 2.66
As 0.1340 0.6340 0.5000  1 As 2.59, 2 Cr 2.66
As 0.3660 0.1340 0.5000  1 As 2.59, 2 Cr 2.66
As 0.6340 0.8660 0.5000  1 As 2.59, 2 Cr 2.66
As 0.8660 0.3660 0.5000  1 As 2.59, 2 Cr 2.66

---

[8]
An optimized crystal structure of TaReCl. Source: Alexandria via LeMat-Bulk, functional GGA-PBE.

Summary:
energy above the most stable polymorph in this dataset	0.000	eV per atom
formation energy without anion corrections	242	meV/atom

abc: 7.5174 7.2759 2.9767
angles: 82.99 73.87 23.14
With the nearest neighbours (Å) after each atom.
Atoms (fractional coordinates):
Ta 0.0000 0.0000 0.0000  2 Re 2.52, 2 Cl 2.60
Re 0.3641 0.3641 0.6359  2 Ta 2.52
Cl 0.6433 0.6433 0.3567  2 Ta 2.60

---

| no. | E_tot (eV per atom) |
| --- | --- |
| 1 | -7.150 |
| 2 | -3.071 |
| 3 | -7.406 |
| 4 | -6.673 |
| 5 | -4.132 |
| 6 | -4.023 |
| 7 | -4.246 |
| 8 | -8.473 |